Run P
A PBEsol-optimized structure of SbAsI2Cl, computed with SCAN.

For the density of states at the Fermi level, the calculation gives 3.24 states/eV/cell.

The structure belongs to space group P4/mmm (No. 123); the cell edges are 5.4452, 5.4452 and 5.5439 Å and the angles 90.00°, 90.00° and 90.00°. Symmetry generates all atoms from Sb at (0.0000, 0.0000, 0.0000), As at (0.0000, 0.0000, 0.5000), I at (0.0000, 0.5000, 0.5000) and Cl at (0.5000, 0.5000, 0.0000).

=====

Run Q
A PBEsol-optimized structure of SbAsI2Cl, computed with SCAN.

For the density of states at the Fermi level, the calculation gives 4.65 states/eV/cell.

The structure belongs to space group P4/mmm (No. 123); the cell edges are 5.5195, 5.5195 and 5.3413 Å and the angles 90.00°, 90.00° and 90.00°. Symmetry generates all atoms from Sb at (0.0000, 0.0000, 0.0000), As at (0.5000, 0.5000, 0.0000), I at (0.0000, 0.5000, 0.5000) and Cl at (0.0000, 0.0000, 0.5000).

=====

Order of stability, best first: run P, run Q